# Si2AuSe, optimized geometry, DFT PBEsol
data_Si2AuSe
_chemical_formula_sum 'Si2 Au1 Se1'
_cell_length_a 2.7634
_cell_length_b 4.9556
_cell_length_c 4.9800
_cell_angle_alpha 90.00
_cell_angle_beta 90.00
_cell_angle_gamma 90.00
_symmetry_space_group_name_H-M 'P m m m'
_symmetry_Int_Tables_number 47
_symmetry_space_group_name_Hall '-P 2 2'
loop_
_atom_site_label
_atom_site_fract_x
_atom_site_fract_y
_atom_site_fract_z
Si1 0.0000 0.0000 0.0000
Si2 0.5000 0.0000 0.5000
Au1 0.0000 0.5000 0.5000
Se1 0.5000 0.5000 0.0000
# E_tot ... -0.1626 Ha/atom
# Total moment ... 0.00 μB/cell
# Uncorrected formation energy ... 0.39 eV/atom

***

# KCr5S8, optimized geometry, DFT PBEsol
data_KCr5S8
_chemical_formula_sum 'K2 Cr10 S16'
_cell_length_a 17.6891
_cell_length_b 3.4433
_cell_length_c 8.4989
_cell_angle_alpha 90.00
_cell_angle_beta 105.16
_cell_angle_gamma 90.00
_symmetry_space_group_name_H-M 'C 1 2/m 1'
_symmetry_Int_Tables_number 12
_symmetry_space_group_name_Hall '-C 2y'
loop_
_atom_site_label
_atom_site_fract_x
_atom_site_fract_y
_atom_site_fract_z
K1 0.0000 0.0000 0.0000
Cr1 0.0000 0.5000 0.5000
Cr2 0.1580 0.0000 0.4718
Cr3 0.2035 0.0000 0.8347
S1 0.0764 0.0000 0.6506
S2 0.0848 0.5000 0.3241
S3 0.1708 0.5000 0.9891
S4 0.2376 0.5000 0.6560
# E_tot ... -0.2584 Ha/atom
# Total moment ... 29.85 μB/cell
# Uncorrected formation energy ... -0.79 eV/atom

***

# K3Mo2Cl9, optimized geometry, DFT PBEsol
data_K3Mo2Cl9
_chemical_formula_sum 'K6 Mo4 Cl18'
_cell_length_a 6.9867
_cell_length_b 6.9867
_cell_length_c 17.1458
_cell_angle_alpha 90.00
_cell_angle_beta 90.00
_cell_angle_gamma 120.00
_symmetry_space_group_name_H-M 'P 63/m'
_symmetry_Int_Tables_number 176
_symmetry_space_group_name_Hall '-P 6c'
loop_
_atom_site_label
_atom_site_fract_x
_atom_site_fract_y
_atom_site_fract_z
K1 0.0000 0.0000 0.2500
K2 0.3333 0.6667 0.0593
Mo1 0.3333 0.6667 0.6706
Cl1 0.0010 0.4560 0.7500
Cl2 0.1279 0.7807 0.5917
# E_tot ... -0.1680 Ha/atom
# Total moment ... 8.00 μB/cell
# Uncorrected formation energy ... -1.36 eV/atom

***

# InSiN3, optimized geometry, DFT PBEsol
data_InSiN3
_chemical_formula_sum 'In1 Si1 N3'
_cell_length_a 4.1884
_cell_length_b 4.1884
_cell_length_c 4.1884
_cell_angle_alpha 90.00
_cell_angle_beta 90.00
_cell_angle_gamma 90.00
_symmetry_space_group_name_H-M 'P m -3 m'
_symmetry_Int_Tables_number 221
_symmetry_space_group_name_Hall '-P 4 2 3'
loop_
_atom_site_label
_atom_site_fract_x
_atom_site_fract_y
_atom_site_fract_z
In1 0.0000 0.0000 0.0000
Si1 0.5000 0.5000 0.5000
N1 0.0000 0.0000 0.5000
# E_tot ... -0.1745 Ha/atom
# Total moment ... 3.66 μB/cell
# Uncorrected formation energy ... 2.11 eV/atom

***

# TaIr4, optimized geometry, DFT PBEsol
data_TaIr4
_chemical_formula_sum 'Ta2 Ir8'
_cell_length_a 6.1222
_cell_length_b 6.1222
_cell_length_c 3.9017
_cell_angle_alpha 90.00
_cell_angle_beta 90.00
_cell_angle_gamma 90.00
_symmetry_space_group_name_H-M 'I 4/m'
_symmetry_Int_Tables_number 87
_symmetry_space_group_name_Hall '-I 4'
loop_
_atom_site_label
_atom_site_fract_x
_atom_site_fract_y
_atom_site_fract_z
Ta1 0.0000 0.0000 0.0000
Ir1 0.1014 0.6960 0.5000
# ΔE_f ... -8.98 kcal/mol of atoms
# E_tot ... -0.3954 Ha/atom
# Total moment ... 0.00 μB/cell

***

# CsHfTe3, optimized geometry, DFT PBEsol
data_CsHfTe3
_chemical_formula_sum 'Cs1 Hf1 Te3'
_cell_length_a 5.6087
_cell_length_b 5.6087
_cell_length_c 5.6087
_cell_angle_alpha 90.00
_cell_angle_beta 90.00
_cell_angle_gamma 90.00
_symmetry_space_group_name_H-M 'P m -3 m'
_symmetry_Int_Tables_number 221
_symmetry_space_group_name_Hall '-P 4 2 3'
loop_
_atom_site_label
_atom_site_fract_x
_atom_site_fract_y
_atom_site_fract_z
Cs1 0.0000 0.0000 0.0000
Hf1 0.5000 0.5000 0.5000
Te1 0.0000 0.5000 0.5000
# E_tot ... -0.1891 Ha/atom
# Total moment ... 0.00 μB/cell
# Uncorrected formation energy ... -0.74 eV/atom

***

# Ta3BeCu, optimized geometry, DFT PBEsol
data_Ta3BeCu
_chemical_formula_sum 'Ta3 Be1 Cu1'
_cell_length_a 4.5541
_cell_length_b 4.5541
_cell_length_c 4.5541
_cell_angle_alpha 90.00
_cell_angle_beta 90.00
_cell_angle_gamma 90.00
_symmetry_space_group_name_H-M 'P m -3 m'
_symmetry_Int_Tables_number 221
_symmetry_space_group_name_Hall '-P 4 2 3'
loop_
_atom_site_label
_atom_site_fract_x
_atom_site_fract_y
_atom_site_fract_z
Ta1 0.0000 0.0000 0.5000
Be1 0.5000 0.5000 0.5000
Cu1 0.0000 0.0000 0.0000
# ΔE_f ... 34.48 kcal/mol of atoms
# E_tot ... -0.2831 Ha/atom
# Total moment ... 0.00 μB/cell

***

# Sc2AuCl, optimized geometry, DFT PBEsol
data_Sc2AuCl
_chemical_formula_sum 'Sc4 Au2 Cl2'
_cell_length_a 3.7682
_cell_length_b 3.7682
_cell_length_c 11.2945
_cell_angle_alpha 90.00
_cell_angle_beta 90.00
_cell_angle_gamma 90.00
_symmetry_space_group_name_H-M 'I -4 m 2'
_symmetry_Int_Tables_number 119
_symmetry_space_group_name_Hall 'I -4 -2'
loop_
_atom_site_label
_atom_site_fract_x
_atom_site_fract_y
_atom_site_fract_z
Sc1 0.0000 0.0000 0.0000
Sc2 0.0000 0.5000 0.2500
Au1 0.0000 0.0000 0.5000
Cl1 0.0000 0.5000 0.7500
# E_tot ... -0.1994 Ha/atom
# Total moment ... 0.00 μB/cell
# Uncorrected formation energy ... -0.64 eV/atom

***

Calculated calculated volume, 68.20; 499.65; 724.82; 73.47; 146.24; 176.44; 94.45; 160.37 Å³/cell (same order as the records).